Entry 1:
NaGa4Pd2: optimized geometry, PBE-GGA.

Values from the calculation:
density: 5.4 g cm⁻³
offset from the most stable computed form: 459.4 kJ/mol of formula units
V: 22.50 Å³/atom
D(E_F): 4.1 states/eV/f.u.
formation energy from the elements: 2.01 eV/f.u.

abc: 4.912 4.912 7.393
angles: 70.60 70.60 90.00
Positions (direct):
Na (0.000, 0.000, 0.000)
Ga (0.000, 0.500, 0.000)
Ga (0.786, 0.786, 0.429)
Ga (0.500, 0.000, 0.000)
Ga (0.214, 0.214, 0.571)
Pd (0.400, 0.400, 0.201)
Pd (0.600, 0.600, 0.799)


Entry 2:
Rb2Tl2CdBr6: optimized geometry, PBE-GGA.

Values from the calculation:
density: 4.5 g cm⁻³
uncorrected energy: -2.77 eV/atom
V: 39.71 Å³/atom
D(E_F): 0.0 states/eV/f.u.

abc: 8.090 8.090 7.916
angles: 100.40 100.40 116.20
Positions (direct):
Tl (0.823, 0.177, 0.000)
Tl (0.177, 0.823, 0.000)
Br (0.931, 0.641, 0.275)
Br (0.641, 0.931, 0.275)
Br (0.811, 0.811, 0.733)
Br (0.069, 0.359, 0.725)
Br (0.359, 0.069, 0.725)
Br (0.189, 0.189, 0.267)
Cd (0.000, 0.000, 0.500)
Rb (0.341, 0.659, 0.500)
Rb (0.659, 0.341, 0.500)


Entry 3:
GeRhCl3: optimized geometry, PBE-GGA.

Values from the calculation:
density: 4.2 g cm⁻³
offset from the most stable computed form: 0.0 kJ/mol of formula units
V: 22.07 Å³/atom
D(E_F): 4.5 states/eV/f.u.

abc: 4.796 4.796 4.796
angles: 90.00 90.00 90.00
Positions (direct):
Cl (0.000, 0.000, 0.500)
Cl (0.000, 0.500, 0.000)
Cl (0.500, 0.000, 0.000)
Rh (0.000, 0.000, 0.000)
Ge (0.500, 0.500, 0.500)


Entry 4:
CdW2: optimized geometry, PBE-GGA.

Values from the calculation:
density: 13.9 g cm⁻³
offset from the most stable computed form: 135.0 kJ/mol of formula units
V: 19.13 Å³/atom
D(E_F): 1.9 states/eV/f.u.
formation energy from the elements: 2.84 eV/f.u.

abc: 2.698 4.736 17.970
angles: 90.00 90.00 90.00
Positions (direct):
Cd (0.000, 0.750, 0.376)
Cd (0.500, 0.250, 0.876)
Cd (0.000, 0.250, 0.624)
Cd (0.500, 0.750, 0.124)
W (0.500, 0.250, 0.463)
W (0.500, 0.750, 0.684)
W (0.000, 0.750, 0.816)
W (0.500, 0.750, 0.537)
W (0.000, 0.250, 0.184)
W (0.000, 0.250, 0.037)
W (0.000, 0.750, 0.963)
W (0.500, 0.250, 0.316)